! GGA-PBE SnPd8Au6, optimized geometry; values from VASP
! formation energy	-0.0354	eV/atom
! total magnetization	0.000	μB/atom
&SYSTEM
  ibrav = 0, nat = 15, ntyp = 3
/
ATOMIC_SPECIES
Sn 118.71 Sn.upf
Pd 106.42 Pd.upf
Au 196.97 Au.upf
ATOMIC_POSITIONS crystal
Sn 0.0000 0.0000 0.0000
Pd 0.0512 0.2805 0.3090
Pd 0.2294 0.9488 0.3090
Pd 0.2805 0.2294 0.6910
Pd 0.3333 0.6667 0.2945
Pd 0.6667 0.3333 0.7055
Pd 0.7195 0.7706 0.3090
Pd 0.7706 0.0512 0.6910
Pd 0.9488 0.7195 0.6910
Au 0.1039 0.4640 0.7970
Au 0.3601 0.8961 0.7970
Au 0.4640 0.3601 0.2030
Au 0.5360 0.6399 0.7970
Au 0.6399 0.1039 0.2030
Au 0.8961 0.5360 0.2030
CELL_PARAMETERS angstrom
7.7329 0.0000 0.0000
-3.8664 6.6969 0.0000
0.0000 0.0000 5.0880

=====

! GGA-PBE SnPd4Au5, optimized geometry; values from VASP
! formation energy	-0.1283	eV/atom
! total magnetization	0.000	μB/atom
&SYSTEM
  ibrav = 0, nat = 10, ntyp = 3
/
ATOMIC_SPECIES
Sn 118.71 Sn.upf
Pd 106.42 Pd.upf
Au 196.97 Au.upf
ATOMIC_POSITIONS crystal
Sn 0.0000 0.0000 0.0000
Pd 0.1739 0.1739 0.4079
Pd 0.4798 0.4798 0.7585
Pd 0.5202 0.5202 0.2415
Pd 0.8261 0.8261 0.5921
Au 0.0000 0.0000 0.5000
Au 0.3076 0.3076 0.8709
Au 0.3413 0.3413 0.3066
Au 0.6587 0.6587 0.6934
Au 0.6924 0.6924 0.1291
CELL_PARAMETERS angstrom
7.0923 -2.1361 0.0000
7.0923 2.1361 0.0000
-3.1129 0.0000 6.0759

=====

! GGA-PBE SnPdAu6, optimized geometry; values from VASP
! formation energy	-0.0813	eV/atom
! total magnetization	0.000	μB/atom
! excess energy over the best structure of this formula in the dataset	18	meV/atom
&SYSTEM
  ibrav = 0, nat = 8, ntyp = 3
/
ATOMIC_SPECIES
Sn 118.71 Sn.upf
Pd 106.42 Pd.upf
Au 196.97 Au.upf
ATOMIC_POSITIONS crystal
Sn 0.0000 0.0000 0.0000
Pd 0.6667 0.3333 0.5000
Au 0.1683 0.3367 0.5000
Au 0.1683 0.8317 0.5000
Au 0.5026 0.0051 0.0000
Au 0.5026 0.4974 0.0000
Au 0.6633 0.8317 0.5000
Au 0.9949 0.4974 0.0000
CELL_PARAMETERS angstrom
5.8934 0.0000 0.0000
-2.9467 5.1038 0.0000
0.0000 0.0000 4.8600

=====

! GGA-PBE Sn2PdAu8, optimized geometry; values from VASP
! formation energy	-0.0710	eV/atom
! total magnetization	0.000	μB/atom
&SYSTEM
  ibrav = 0, nat = 11, ntyp = 3
/
ATOMIC_SPECIES
Sn 118.71 Sn.upf
Pd 106.42 Pd.upf
Au 196.97 Au.upf
ATOMIC_POSITIONS crystal
Sn 0.1481 0.1481 0.1477
Sn 0.8519 0.8519 0.8523
Pd 0.5000 0.5000 0.5000
Au 0.0006 0.0006 0.2632
Au 0.1751 0.1751 0.6759
Au 0.3381 0.3381 0.5850
Au 0.3390 0.3390 0.0909
Au 0.6610 0.6610 0.9091
Au 0.6619 0.6619 0.4150
Au 0.8249 0.8249 0.3241
Au 0.9994 0.9994 0.7368
CELL_PARAMETERS angstrom
7.4664 -2.0501 0.0000
7.4664 2.0501 0.0000
-4.9981 0.0000 7.0511

=====

! GGA-PBE Sn2Pd4Au, optimized geometry; values from VASP
! formation energy	-0.3383	eV/atom
! total magnetization	0.000	μB/atom
! excess energy over the best structure of this formula in the dataset	0	meV/atom
&SYSTEM
  ibrav = 0, nat = 14, ntyp = 3
/
ATOMIC_SPECIES
Sn 118.71 Sn.upf
Pd 106.42 Pd.upf
Au 196.97 Au.upf
ATOMIC_POSITIONS crystal
Sn 0.0968 0.2500 0.3405
Sn 0.3702 0.7500 0.0744
Sn 0.6298 0.2500 0.9256
Sn 0.9032 0.7500 0.6595
Pd 0.2670 0.5050 0.7035
Pd 0.2670 0.9950 0.7035
Pd 0.3158 0.2500 0.0906
Pd 0.4830 0.7500 0.4852
Pd 0.5170 0.2500 0.5148
Pd 0.6842 0.7500 0.9094
Pd 0.7330 0.0050 0.2965
Pd 0.7330 0.4950 0.2965
Au 0.0629 0.7500 0.2427
Au 0.9371 0.2500 0.7573
CELL_PARAMETERS angstrom
6.9603 0.0000 0.0000
0.0000 5.6218 0.0000
-2.5461 0.0000 6.5335

=====

! GGA-PBE SnPd5Au2, optimized geometry; values from VASP
! formation energy	-0.1544	eV/atom
! total magnetization	0.000	μB/atom
! excess energy over the best structure of this formula in the dataset	157	meV/atom
&SYSTEM
  ibrav = 0, nat = 16, ntyp = 3
/
ATOMIC_SPECIES
Sn 118.71 Sn.upf
Pd 106.42 Pd.upf
Au 196.97 Au.upf
ATOMIC_POSITIONS crystal
Sn 0.2500 0.2500 0.0000
Sn 0.7500 0.7500 0.0000
Pd 0.0000 0.0000 0.0000
Pd 0.0167 0.5167 0.2005
Pd 0.1838 0.9833 0.5000
Pd 0.3162 0.8162 0.7995
Pd 0.4833 0.6838 0.5000
Pd 0.5000 0.5000 0.0000
Pd 0.5167 0.3162 0.5000
Pd 0.6838 0.1838 0.2005
Pd 0.8162 0.0167 0.5000
Pd 0.9833 0.4833 0.7995
Au 0.1443 0.3557 0.5000
Au 0.3557 0.8557 0.2113
Au 0.6443 0.1443 0.7887
Au 0.8557 0.6443 0.5000
CELL_PARAMETERS angstrom
-3.5087 3.5087 5.6259
3.5087 -3.5087 5.6259
3.5087 3.5087 -5.6259

=====

! GGA-PBE Sn4PdAu, optimized geometry; values from VASP
! formation energy	-0.1955	eV/atom
! total magnetization	0.000	μB/atom
! excess energy over the best structure of this formula in the dataset	55	meV/atom
&SYSTEM
  ibrav = 0, nat = 12, ntyp = 3
/
ATOMIC_SPECIES
Sn 118.71 Sn.upf
Pd 106.42 Pd.upf
Au 196.97 Au.upf
ATOMIC_POSITIONS crystal
Sn 0.1159 0.1357 0.3659
Sn 0.1159 0.3643 0.8659
Sn 0.3619 0.6249 0.3760
Sn 0.3619 0.8751 0.8760
Sn 0.6381 0.1249 0.1240
Sn 0.6381 0.3751 0.6240
Sn 0.8841 0.6357 0.1341
Sn 0.8841 0.8643 0.6341
Pd 0.0000 0.0000 0.0000
Pd 0.0000 0.5000 0.5000
Au 0.5000 0.0000 0.5000
Au 0.5000 0.5000 0.0000
CELL_PARAMETERS angstrom
6.6623 0.0000 0.0000
0.0000 6.7097 0.0000
-0.0745 0.0000 6.6831

=====

! GGA-PBE Sn3PdAu2, optimized geometry; values from VASP
! formation energy	-0.2866	eV/atom
! total magnetization	0.000	μB/atom
! excess energy over the best structure of this formula in the dataset	0	meV/atom
&SYSTEM
  ibrav = 0, nat = 12, ntyp = 3
/
ATOMIC_SPECIES
Sn 118.71 Sn.upf
Pd 106.42 Pd.upf
Au 196.97 Au.upf
ATOMIC_POSITIONS crystal
Sn 0.0939 0.7500 0.4061
Sn 0.2500 0.5939 0.9061
Sn 0.4061 0.0939 0.7500
Sn 0.5939 0.9061 0.2500
Sn 0.7500 0.4061 0.0939
Sn 0.9061 0.2500 0.5939
Pd 0.0000 0.0000 0.0000
Pd 0.5000 0.5000 0.5000
Au 0.1677 0.1677 0.1677
Au 0.3323 0.3323 0.3323
Au 0.6677 0.6677 0.6677
Au 0.8323 0.8323 0.8323
CELL_PARAMETERS angstrom
3.7033 2.1381 5.7033
-3.7033 2.1381 5.7033
0.0000 -4.2762 5.7033

=====

! GGA-PBE Sn3PdAu, optimized geometry; values from VASP
! formation energy	-0.2316	eV/atom
! total magnetization	0.000	μB/atom
! excess energy over the best structure of this formula in the dataset	0	meV/atom
&SYSTEM
  ibrav = 0, nat = 20, ntyp = 3
/
ATOMIC_SPECIES
Sn 118.71 Sn.upf
Pd 106.42 Pd.upf
Au 196.97 Au.upf
ATOMIC_POSITIONS crystal
Sn 0.0901 0.1600 0.2311
Sn 0.0901 0.3400 0.7311
Sn 0.2794 0.5053 0.0799
Sn 0.2794 0.9947 0.5799
Sn 0.3610 0.5291 0.5722
Sn 0.3610 0.9709 0.0722
Sn 0.6390 0.0291 0.9278
Sn 0.6390 0.4709 0.4278
Sn 0.7206 0.0053 0.4201
Sn 0.7206 0.4947 0.9201
Sn 0.9099 0.6600 0.2689
Sn 0.9099 0.8400 0.7689
Pd 0.0106 0.1936 0.9398
Pd 0.0106 0.3064 0.4398
Pd 0.9894 0.6936 0.5602
Pd 0.9894 0.8064 0.0602
Au 0.3484 0.7011 0.8440
Au 0.3484 0.7989 0.3440
Au 0.6516 0.2011 0.6560
Au 0.6516 0.2989 0.1560
CELL_PARAMETERS angstrom
7.6276 0.0000 0.0000
0.0000 6.7266 0.0000
-5.0537 0.0000 9.0274

=====

! GGA-PBE Sn4PdAu5, optimized geometry; values from VASP
! formation energy	-0.2102	eV/atom
! total magnetization	0.000	μB/atom
&SYSTEM
  ibrav = 0, nat = 10, ntyp = 3
/
ATOMIC_SPECIES
Sn 118.71 Sn.upf
Pd 106.42 Pd.upf
Au 196.97 Au.upf
ATOMIC_POSITIONS crystal
Sn 0.0664 0.0664 0.3061
Sn 0.3642 0.3642 0.2033
Sn 0.6358 0.6358 0.7967
Sn 0.9336 0.9336 0.6939
Pd 0.5000 0.5000 0.5000
Au 0.1941 0.1941 0.1038
Au 0.2155 0.2155 0.6134
Au 0.5000 0.5000 0.0000
Au 0.7845 0.7845 0.3866
Au 0.8059 0.8059 0.8962
CELL_PARAMETERS angstrom
9.1037 -2.1437 0.0000
9.1037 2.1437 0.0000
-1.0325 0.0000 5.6185

=====

| no. | calculated total energy (eV/atom) | N(E_F) (states/eV per atom) |
| --- | --- | --- |
| 1 | -4.38 | 0.27 |
| 2 | -4.24 | 0.32 |
| 3 | -3.69 | 0.27 |
| 4 | -3.65 | 0.37 |
| 5 | -4.92 | 0.56 |
| 6 | -4.72 | 0.71 |
| 7 | -4.28 | 0.41 |
| 8 | -4.25 | 0.37 |
| 9 | -4.33 | 0.42 |
| 10 | -3.97 | 0.42 |